Material: Be3VCo3
Method: DFT, GGA-PBE
State: relaxed

Calculated values
Total magnetic moment = 0.0 μB per cell
Calculated formation energy = -0.172 eV per atom

Cell lengths 5.247, 5.247, 5.150 Å; angles 90.00, 90.00, 86.61 degrees
Fractional positions:
Be 0.267 0.267 0.500
Be 0.270 0.730 0.500
Be 0.229 0.229 0.000
Be 0.771 0.771 0.000
Be 0.730 0.270 0.500
Be 0.733 0.733 0.500
Co 0.000 0.000 0.264
Co 0.000 0.500 0.739
Co 0.000 0.500 0.261
Co 0.500 0.000 0.739
Co 0.000 0.000 0.736
Co 0.500 0.000 0.261
V 0.720 0.280 0.000
V 0.280 0.720 0.000

---

Material: BeV2Co4
Method: DFT, GGA-PBE
State: relaxed

Calculated values
Total magnetic moment = 3.9 μB per cell
Calculated formation energy = 0.173 eV per atom

Cell lengths 7.203, 4.827, 5.306 Å; angles 117.06, 90.00, 90.00 degrees
Fractional positions:
Co 0.250 0.503 0.500
Co 0.751 0.252 0.000
Co 0.250 0.003 0.500
Co 0.750 0.997 0.500
Co 0.749 0.752 0.000
Co 0.249 0.748 0.000
Co 0.750 0.497 0.500
Co 0.251 0.248 0.000
V 0.500 0.145 0.290
V 0.500 0.855 0.710
V 0.000 0.645 0.290
V 0.000 0.355 0.710
Be 0.500 0.500 0.000
Be 0.000 0.000 0.000